[1]
Here is a relaxed FeCoW2 crystal from the Alexandria database. Energies are from PBE.

**ΔE to the lowest computed polymorph**: 44 kJ/mol of formula units
**Energy relative to the elements**: 0.21 eV per atom

Unit cell a=4.7010 b=4.7010 c=4.7010 alpha=133.63 beta=133.63 gamma=67.67
Element x y z (fractional)
W (0.0000, 0.0000, 0.0000)
W (0.2500, 0.7500, 0.5000)
Co (0.5000, 0.5000, 0.0000)
Fe (0.7500, 0.2500, 0.5000)

=====

[2]
Here is a relaxed Na3Tm3GaS8 crystal from the Alexandria database. Energies are from PBE.

**Raw formation energy**: -21.99 eV per formula unit

Unit cell a=7.6951 b=7.7013 c=8.1000 alpha=118.45 beta=90.00 gamma=119.97
Element x y z (fractional)
Ga (0.0000, 0.0000, 0.5000)
S (0.7718, 0.0152, 0.2870)
Tm (0.5000, 0.0000, 0.5000)
Na (0.5000, 0.5000, 0.0000)
S (0.7566, 0.9848, 0.7130)
Tm (0.0000, 0.5000, 0.5000)
S (0.2278, 0.4557, 0.7126)
Tm (0.5000, 0.5000, 0.5000)
S (0.7722, 0.5443, 0.2874)
S (0.2583, 0.5167, 0.2752)
Na (0.0000, 0.0000, 0.0000)
S (0.2434, 0.0152, 0.2870)
S (0.7417, 0.4833, 0.7248)
Na (0.0000, 0.5000, 0.0000)
S (0.2282, 0.9848, 0.7130)

=====

[3]
Here is a relaxed PrAlSi2Os crystal from the Alexandria database. Energies are from PBE.

**Raw formation energy**: -2.99 eV per formula unit

Unit cell a=3.9976 b=3.9976 c=6.1699 alpha=108.90 beta=108.90 gamma=90.00
Element x y z (fractional)
Si (0.3858, 0.3858, 0.7716)
Pr (0.0000, 0.0000, 0.0000)
Os (0.7500, 0.2500, 0.5000)
Al (0.2500, 0.7500, 0.5000)
Si (0.6142, 0.6142, 0.2284)

=====

[4]
Here is a relaxed K2H2Se2S crystal from the Alexandria database. Energies are from PBE.

**Total energy**: -22.6 eV/cell

Unit cell a=4.2249 b=6.5818 c=6.5817 alpha=93.27 beta=71.28 gamma=71.28
Element x y z (fractional)
H (0.8118, 0.1883, 0.1880)
K (0.5002, 0.2505, 0.7492)
K (0.4998, 0.7495, 0.2508)
S (0.0000, 0.0000, 0.0000)
H (0.1882, 0.8117, 0.8120)
Se (0.1514, 0.3486, 0.3485)
Se (0.8486, 0.6514, 0.6515)

=====

[5]
Here is a relaxed Th2CdSn9 crystal from the Alexandria database. Energies are from PBE.

**Energy relative to the elements**: -0.25 eV per atom

Unit cell a=4.6936 b=4.6936 c=14.7704 alpha=90.00 beta=90.00 gamma=90.00
Element x y z (fractional)
Sn (0.5000, 0.5000, 0.6672)
Cd (0.0000, 0.0000, 0.0000)
Th (0.0000, 0.0000, 0.6570)
Sn (0.5000, 0.0000, 0.8344)
Sn (0.5000, 0.5000, 0.3328)
Sn (0.0000, 0.5000, 0.5000)
Sn (0.0000, 0.5000, 0.8344)
Th (0.0000, 0.0000, 0.3430)
Sn (0.5000, 0.0000, 0.1656)
Sn (0.5000, 0.0000, 0.5000)
Sn (0.0000, 0.5000, 0.1656)
Sn (0.5000, 0.5000, 0.0000)

=====

[6]
Here is a relaxed AlCu6Ag crystal from the Alexandria database. Energies are from PBE.

**ΔE to the lowest computed polymorph**: 222 kJ/mol of formula units
**Energy relative to the elements**: 0.31 eV per atom

Unit cell a=4.9888 b=4.9888 c=4.9888 alpha=86.00 beta=86.00 gamma=86.00
Element x y z (fractional)
Cu (0.5221, 0.1631, 0.1631)
Cu (0.1631, 0.1631, 0.5221)
Cu (0.8369, 0.8369, 0.4779)
Cu (0.4779, 0.8369, 0.8369)
Cu (0.8369, 0.4779, 0.8369)
Al (0.5000, 0.5000, 0.5000)
Cu (0.1631, 0.5221, 0.1631)
Ag (0.0000, 0.0000, 0.0000)

=====

[7]
Here is a relaxed KCdInBrO crystal from the Alexandria database. Energies are from PBE.

**ΔE to the lowest computed polymorph**: 21 kJ/mol of formula units
**Raw formation energy**: -4.57 eV per formula unit

Unit cell a=3.4923 b=4.2336 c=9.4203 alpha=80.00 beta=79.39 gamma=65.82
Element x y z (fractional)
O (0.3637, 0.4996, 0.7098)
Cd (0.2771, 0.0710, 0.3573)
Br (0.6054, 0.5830, 0.1398)
In (0.8968, 0.5777, 0.5666)
K (0.0062, 0.0412, 0.8812)

=====

[8]
Here is a relaxed MnAsP3 crystal from the Alexandria database. Energies are from PBE.

**ΔE to the lowest computed polymorph**: 502 kJ/mol of formula units
**Energy relative to the elements**: 1.57 eV per atom

Unit cell a=4.6164 b=4.6164 c=4.6164 alpha=90.00 beta=90.00 gamma=90.00
Last column: magnetic moment on the atom in μB.
Element x y z (fractional)
P (0.0000, 0.5000, 0.0000)  -0.09
P (0.0000, 0.0000, 0.5000)  -0.08
P (0.5000, 0.0000, 0.0000)  -0.08
As (0.0000, 0.0000, 0.0000)  -0.04
Mn (0.5000, 0.5000, 0.5000)  0.40

=====

[9]
Here is a relaxed Pr2GdI crystal from the Alexandria database. Energies are from PBE.

**ΔE to the lowest computed polymorph**: 0 kJ/mol of formula units
**Raw formation energy**: -1.40 eV per formula unit

Unit cell a=3.7374 b=3.7374 c=9.7903 alpha=90.00 beta=90.00 gamma=90.00
Last column: magnetic moment on the atom in μB.
Element x y z (fractional)
Gd (0.5000, 0.5000, 0.0000)  7.17
I (0.5000, 0.5000, 0.5000)  0.01
Pr (0.0000, 0.0000, 0.2591)  -0.03
Pr (0.0000, 0.0000, 0.7409)  -0.03

=====

[10]
Here is a relaxed LaCeSbBr crystal from the Alexandria database. Energies are from PBE.

**Raw formation energy**: -4.45 eV per formula unit

Unit cell a=5.4527 b=5.4527 c=5.4527 alpha=60.00 beta=60.00 gamma=60.00
Last column: magnetic moment on the atom in μB.
Element x y z (fractional)
Br (0.5000, 0.5000, 0.5000)  -0.01
La (0.7500, 0.7500, 0.7500)  0.28
Ce (0.2500, 0.2500, 0.2500)  1.20
Sb (0.0000, 0.0000, 0.0000)  -0.03

=====

[11]
Here is a relaxed CaVS3 crystal from the Alexandria database. Energies are from PBE.

**ΔE to the lowest computed polymorph**: 0 kJ/mol of formula units
**Raw formation energy**: -5.11 eV per formula unit

Unit cell a=4.6366 b=4.6366 c=4.6366 alpha=90.00 beta=90.00 gamma=90.00
Last column: magnetic moment on the atom in μB.
Element x y z (fractional)
S (0.5000, 0.0000, 0.0000)  0.00
S (0.0000, 0.5000, 0.0000)  0.00
Ca (0.5000, 0.5000, 0.5000)  0.00
S (0.0000, 0.0000, 0.5000)  0.00
V (0.0000, 0.0000, 0.0000)  0.34

=====

[12]
Here is a relaxed La4Sm5Sc2 crystal from the Alexandria database. Energies are from PBE.

**ΔE to the lowest computed polymorph**: 0 kJ/mol of formula units
**Energy relative to the elements**: 0.07 eV per atom

Unit cell a=3.6577 b=9.2559 c=12.0120 alpha=66.45 beta=98.77 gamma=90.01
Element x y z (fractional)
Sc (0.3919, 0.5652, 0.7838)
La (0.1722, 0.0386, 0.3445)
Sm (0.7613, 0.6588, 0.5225)
Sc (0.6081, 0.4348, 0.2162)
Sm (0.8762, 0.2744, 0.7524)
La (0.9790, 0.7047, 0.9581)
La (0.8278, 0.9614, 0.6555)
Sm (0.1238, 0.7256, 0.2476)
La (0.0210, 0.2953, 0.0419)
Sm (0.2387, 0.3412, 0.4775)
Sm (0.5000, 0.0000, 0.0000)

=====

[13]
Here is a relaxed SrCuOs2 crystal from the Alexandria database. Energies are from PBE.

**ΔE to the lowest computed polymorph**: 115 kJ/mol of formula units
**Energy relative to the elements**: 0.45 eV per atom

Unit cell a=2.8564 b=3.6863 c=7.1113 alpha=90.00 beta=90.00 gamma=90.00
Element x y z (fractional)
Os (0.5000, 0.5000, 0.1705)
Os (0.0000, 0.0000, 0.0148)
Cu (0.5000, 0.5000, 0.8098)
Sr (0.0000, 0.0000, 0.5049)

=====

[14]
Here is a relaxed TbSmBi crystal from the Alexandria database. Energies are from PBE.

**Energy relative to the elements**: -0.64 eV per atom

Unit cell a=4.5970 b=4.5970 c=8.8004 alpha=90.02 beta=89.98 gamma=90.00
Element x y z (fractional)
Sm (0.7503, 0.2497, 0.6505)
Bi (0.7497, 0.2503, 0.2786)
Tb (0.7500, 0.7500, 0.0000)
Tb (0.2500, 0.2500, 0.0000)
Bi (0.2503, 0.7497, 0.7214)
Sm (0.2497, 0.7503, 0.3495)

=====

[15]
Here is a relaxed Al2TcAu2 crystal from the Alexandria database. Energies are from PBE.

**ΔE to the lowest computed polymorph**: 0 kJ/mol of formula units
**Energy relative to the elements**: -0.07 eV per atom

Unit cell a=7.1897 b=7.1897 c=3.1125 alpha=90.00 beta=90.00 gamma=90.00
Last column: magnetic moment on the atom in μB.
Element x y z (fractional)
Al (0.3499, 0.8499, 0.0000)  -0.01
Au (0.6493, 0.8507, 0.5000)  0.00
Tc (0.5000, 0.5000, 0.0000)  0.95
Au (0.1493, 0.6493, 0.5000)  0.00
Al (0.8499, 0.6501, 0.0000)  -0.01
Al (0.6501, 0.1501, 0.0000)  -0.01
Al (0.1501, 0.3499, 0.0000)  -0.01
Tc (0.0000, 0.0000, 0.0000)  0.95
Au (0.3507, 0.1493, 0.5000)  0.00
Au (0.8507, 0.3507, 0.5000)  0.00